## 1
Compound: NdTi2Mo
Source: Alexandria via LeMat-Bulk
Functional: PBE-GGA
Structure: relaxed

Cell lengths 3.2678, 3.2678, 7.7447 Å; angles 90.00, 90.00, 90.00 degrees
Closest atoms and distances in Å follow each position.
Fractional positions:
Nd (0.0000, 0.0000, 0.0000)  4 Nd 3.27, 8 Ti 3.37
Ti (0.5000, 0.5000, 0.3172)  4 Mo 2.71, 1 Ti 2.83
Ti (0.5000, 0.5000, 0.6828)  4 Mo 2.71, 1 Ti 2.83
Mo (0.0000, 0.0000, 0.5000)  8 Ti 2.71

Computed properties:
**SG**: No. 123
**Fermi-level density of states**: 1.577 states/eV per atom



## 2
Compound: NdTi2Mo
Source: Alexandria via LeMat-Bulk
Functional: PBE-GGA
Structure: relaxed

Cell lengths 3.1211, 3.1211, 29.9600 Å; angles 90.00, 90.00, 120.00 degrees
Closest atoms and distances in Å follow each position.
Fractional positions:
Nd (0.0000, 0.0000, 0.0000)  2 Ti 3.08, 6 Nd 3.12
Nd (0.3333, 0.6667, 0.6667)  2 Ti 3.08, 6 Nd 3.12
Nd (0.6667, 0.3333, 0.3333)  2 Ti 3.08, 6 Nd 3.12
Ti (0.0000, 0.0000, 0.1028)  3 Mo 2.63
Ti (0.0000, 0.0000, 0.8972)  3 Mo 2.63
Ti (0.3333, 0.6667, 0.5639)  3 Mo 2.63
Ti (0.3333, 0.6667, 0.7695)  3 Mo 2.63
Ti (0.6667, 0.3333, 0.2305)  3 Mo 2.63
Ti (0.6667, 0.3333, 0.4361)  3 Mo 2.63
Mo (0.0000, 0.0000, 0.5000)  6 Ti 2.63
Mo (0.3333, 0.6667, 0.1667)  6 Ti 2.63
Mo (0.6667, 0.3333, 0.8333)  6 Ti 2.63

Computed properties:
**SG**: No. 166
**Fermi-level density of states**: 1.680 states/eV per atom



What should be chosen as the least stable of them? Choose 2.



## 1
Compound: NdZr2Mo
Source: Alexandria via LeMat-Bulk
Functional: PBE-GGA
Structure: relaxed

Cell lengths 3.2703, 3.2703, 31.5998 Å; angles 90.00, 90.00, 120.00 degrees
Closest atoms and distances in Å follow each position.
Fractional positions:
Nd (0.0000, 0.0000, 0.0000)  2 Zr 3.23, 6 Nd 3.27
Nd (0.3333, 0.6667, 0.6667)  2 Zr 3.23, 6 Nd 3.27
Nd (0.6667, 0.3333, 0.3333)  2 Zr 3.23, 6 Nd 3.27
Zr (0.0000, 0.0000, 0.1021)  3 Mo 2.78
Zr (0.0000, 0.0000, 0.8979)  3 Mo 2.78
Zr (0.3333, 0.6667, 0.5645)  3 Mo 2.78
Zr (0.3333, 0.6667, 0.7688)  3 Mo 2.78
Zr (0.6667, 0.3333, 0.2312)  3 Mo 2.78
Zr (0.6667, 0.3333, 0.4355)  3 Mo 2.78
Mo (0.0000, 0.0000, 0.5000)  6 Zr 2.78
Mo (0.3333, 0.6667, 0.1667)  6 Zr 2.78
Mo (0.6667, 0.3333, 0.8333)  6 Zr 2.78

Computed properties:
**SG**: No. 166
**Fermi-level density of states**: 1.467 states/eV per atom



## 2
Compound: NdZr2Mo
Source: Alexandria via LeMat-Bulk
Functional: PBE-GGA
Structure: relaxed

Cell lengths 3.4227, 3.4227, 8.0835 Å; angles 90.00, 90.00, 90.00 degrees
Closest atoms and distances in Å follow each position.
Fractional positions:
Nd (0.0000, 0.0000, 0.0000)  4 Nd 3.42, 8 Zr 3.47
Zr (0.5000, 0.5000, 0.3077)  4 Mo 2.88, 1 Zr 3.11
Zr (0.5000, 0.5000, 0.6923)  4 Mo 2.88, 1 Zr 3.11
Mo (0.0000, 0.0000, 0.5000)  8 Zr 2.88

Computed properties:
**SG**: No. 123
**Fermi-level density of states**: 1.501 states/eV per atom



What should be chosen as the least stable of them? Choose 1.



## 1
Compound: Ni2Mo
Source: Alexandria via LeMat-Bulk
Functional: PBE-GGA
Structure: relaxed

Cell lengths 8.2540, 3.6039, 5.3243 Å; angles 90.00, 107.73, 90.00 degrees
Closest atoms and distances in Å follow each position.
Fractional positions:
Ni (0.0014, 0.0000, 0.2549)  5 Mo 2.56-2.72, 7 Ni 2.58-2.71
Ni (0.1653, 0.5000, 0.5806)  4 Mo 2.53-2.79, 8 Ni 2.58-2.62
Ni (0.3347, 0.0000, 0.4194)  4 Mo 2.53-2.79, 8 Ni 2.58-2.62
Ni (0.4986, 0.5000, 0.7451)  5 Mo 2.56-2.72, 7 Ni 2.58-2.71
Ni (0.5014, 0.5000, 0.2549)  5 Mo 2.56-2.72, 7 Ni 2.58-2.71
Ni (0.6653, 0.0000, 0.5806)  4 Mo 2.53-2.79, 8 Ni 2.58-2.62
Ni (0.8347, 0.5000, 0.4194)  4 Mo 2.53-2.79, 8 Ni 2.58-2.62
Ni (0.9986, 0.0000, 0.7451)  5 Mo 2.56-2.72, 7 Ni 2.58-2.71
Mo (0.1741, 0.5000, 0.1079)  9 Ni 2.53-2.79, 3 Mo 2.65-2.75
Mo (0.3259, 0.0000, 0.8921)  9 Ni 2.53-2.79, 3 Mo 2.65-2.75
Mo (0.6741, 0.0000, 0.1079)  9 Ni 2.53-2.79, 3 Mo 2.65-2.75
Mo (0.8259, 0.5000, 0.8921)  9 Ni 2.53-2.79, 3 Mo 2.65-2.75

Computed properties:
**SG**: No. 12
**Fermi-level density of states**: 1.468 states/eV per atom



## 2
Compound: Ni2Mo
Source: Alexandria via LeMat-Bulk
Functional: PBE-GGA
Structure: relaxed

Cell lengths 9.6694, 2.6051, 6.1923 Å; angles 90.00, 104.12, 90.00 degrees
Closest atoms and distances in Å follow each position.
Fractional positions:
Ni (0.0000, 0.0000, 0.0000)  8 Ni 2.57-2.66, 4 Mo 2.57
Ni (0.0616, 0.0000, 0.6180)  7 Ni 2.55-2.70, 5 Mo 2.59-2.64
Ni (0.2178, 0.5000, 0.9418)  9 Ni 2.55-2.66, 3 Mo 2.56-2.61
Ni (0.3896, 0.0000, 0.2732)  8 Ni 2.57-2.70, 4 Mo 2.57-2.65
Ni (0.5000, 0.5000, 0.0000)  8 Ni 2.57-2.66, 4 Mo 2.57
Ni (0.5616, 0.5000, 0.6180)  7 Ni 2.55-2.70, 5 Mo 2.59-2.64
Ni (0.7178, 0.0000, 0.9418)  9 Ni 2.55-2.66, 3 Mo 2.56-2.61
Ni (0.8896, 0.5000, 0.2732)  8 Ni 2.57-2.70, 4 Mo 2.57-2.65
Mo (0.1610, 0.5000, 0.3244)  8 Ni 2.56-2.65, 4 Mo 2.61-2.76
Mo (0.3412, 0.0000, 0.6752)  8 Ni 2.57-2.64, 4 Mo 2.61-2.76
Mo (0.6610, 0.0000, 0.3244)  8 Ni 2.56-2.65, 4 Mo 2.61-2.76
Mo (0.8412, 0.5000, 0.6752)  8 Ni 2.57-2.64, 4 Mo 2.61-2.76

Computed properties:
**SG**: No. 8
**Fermi-level density of states**: 1.223 states/eV per atom



## 3
Compound: Ni2Mo
Source: Alexandria via LeMat-Bulk
Functional: PBE-GGA
Structure: relaxed

Cell lengths 2.6229, 3.6715, 7.7279 Å; angles 90.00, 90.00, 90.00 degrees
Closest atoms and distances in Å follow each position.
Fractional positions:
Ni (0.0000, 0.0000, 0.1690)  5 Mo 2.56-2.61, 7 Ni 2.58-2.62
Ni (0.0000, 0.0000, 0.8310)  5 Mo 2.56-2.61, 7 Ni 2.58-2.62
Ni (0.5000, 0.5000, 0.3310)  5 Mo 2.56-2.61, 7 Ni 2.58-2.62
Ni (0.5000, 0.5000, 0.6690)  5 Mo 2.56-2.61, 7 Ni 2.58-2.62
Mo (0.0000, 0.0000, 0.5000)  10 Ni 2.56-2.61, 2 Mo 2.62
Mo (0.5000, 0.5000, 0.0000)  10 Ni 2.56-2.61, 2 Mo 2.62

Computed properties:
**SG**: No. 71
**Fermi-level density of states**: 0.794 states/eV per atom



What should be chosen as the least stable of them? Choose 2.



## 1
Compound: Ni4Mo5
Source: Alexandria via LeMat-Bulk
Functional: PBE-GGA
Structure: relaxed

Cell lengths 6.0213, 6.0213, 6.0213 Å; angles 95.58, 95.58, 143.66 degrees
Closest atoms and distances in Å follow each position.
Fractional positions:
Ni (0.0000, 0.3454, 0.3454)  5 Ni 2.50-2.58, 7 Mo 2.65-2.79
Ni (0.0000, 0.6546, 0.6546)  5 Ni 2.50-2.58, 7 Mo 2.65-2.79
Ni (0.3454, 0.0000, 0.3454)  5 Ni 2.50-2.58, 7 Mo 2.65-2.79
Ni (0.6546, 0.0000, 0.6546)  5 Ni 2.50-2.58, 7 Mo 2.65-2.79
Mo (0.0000, 0.0000, 0.0000)  8 Mo 2.73, 4 Ni 2.79
Mo (0.3267, 0.3267, 0.6534)  6 Mo 2.57-2.80, 6 Ni 2.65-2.73
Mo (0.3267, 0.6733, 0.0000)  6 Mo 2.57-2.80, 6 Ni 2.65-2.73
Mo (0.6733, 0.3267, 0.0000)  6 Mo 2.57-2.80, 6 Ni 2.65-2.73
Mo (0.6733, 0.6733, 0.3466)  6 Mo 2.57-2.80, 6 Ni 2.65-2.73

Computed properties:
**SG**: No. 139
**Fermi-level density of states**: 0.928 states/eV per atom



## 2
Compound: Ni4Mo5
Source: Alexandria via LeMat-Bulk
Functional: PBE-GGA
Structure: relaxed

Cell lengths 7.3590, 7.3590, 5.2729 Å; angles 90.00, 90.00, 120.00 degrees
Closest atoms and distances in Å follow each position.
Fractional positions:
Ni (0.0000, 0.0000, 0.0000)  8 Ni 2.64-2.75, 6 Mo 2.78
Ni (0.0000, 0.0000, 0.5000)  8 Ni 2.64-2.75, 6 Mo 2.78
Ni (0.0000, 0.3285, 0.2500)  5 Mo 2.43-2.64
Ni (0.0000, 0.6715, 0.7500)  5 Mo 2.43-2.64
Ni (0.3285, 0.0000, 0.2500)  5 Mo 2.43-2.64
Ni (0.3285, 0.3285, 0.7500)  5 Mo 2.43-2.64
Ni (0.6715, 0.0000, 0.7500)  5 Mo 2.43-2.64
Ni (0.6715, 0.6715, 0.2500)  5 Mo 2.43-2.64
Mo (0.0000, 0.3330, 0.7500)  5 Ni 2.43-2.64
Mo (0.0000, 0.6670, 0.2500)  5 Ni 2.43-2.64
Mo (0.3330, 0.0000, 0.7500)  5 Ni 2.43-2.64
Mo (0.3330, 0.3330, 0.2500)  5 Ni 2.43-2.64
Mo (0.3333, 0.6667, 0.0000)  8 Mo 2.64-2.79, 6 Ni 2.80
Mo (0.3333, 0.6667, 0.5000)  8 Mo 2.64-2.79, 6 Ni 2.80
Mo (0.6670, 0.0000, 0.2500)  5 Ni 2.43-2.64
Mo (0.6667, 0.3333, 0.0000)  8 Mo 2.64-2.79, 6 Ni 2.80
Mo (0.6667, 0.3333, 0.5000)  8 Mo 2.64-2.79, 6 Ni 2.80
Mo (0.6670, 0.6670, 0.7500)  5 Ni 2.43-2.64

Computed properties:
**SG**: No. 193
**Fermi-level density of states**: 1.006 states/eV per atom



What should be chosen as the least stable of them? Choose 2.



## 1
Compound: NiMo2
Source: Alexandria via LeMat-Bulk
Functional: PBE-GGA
Structure: relaxed

Cell lengths 5.3618, 3.9511, 8.0613 Å; angles 90.00, 90.00, 90.00 degrees
Closest atoms and distances in Å follow each position.
Fractional positions:
Ni (0.1164, 0.2500, 0.0847)  10 Mo 2.57-2.78, 2 Ni 2.71
Ni (0.3836, 0.7500, 0.5847)  10 Mo 2.57-2.78, 2 Ni 2.71
Ni (0.6164, 0.2500, 0.4153)  10 Mo 2.57-2.78, 2 Ni 2.71
Ni (0.8836, 0.7500, 0.9153)  10 Mo 2.57-2.78, 2 Ni 2.71
Mo (0.1227, 0.2500, 0.4250)  5 Ni 2.65-2.74, 7 Mo 2.66-2.88
Mo (0.1405, 0.2500, 0.7664)  5 Ni 2.57-2.78, 7 Mo 2.67-2.88
Mo (0.3595, 0.7500, 0.2664)  5 Ni 2.57-2.78, 7 Mo 2.67-2.88
Mo (0.3773, 0.7500, 0.9250)  5 Ni 2.65-2.74, 7 Mo 2.66-2.88
Mo (0.6227, 0.2500, 0.0750)  5 Ni 2.65-2.74, 7 Mo 2.66-2.88
Mo (0.6405, 0.2500, 0.7336)  5 Ni 2.57-2.78, 7 Mo 2.67-2.88
Mo (0.8595, 0.7500, 0.2336)  5 Ni 2.57-2.78, 7 Mo 2.67-2.88
Mo (0.8773, 0.7500, 0.5750)  5 Ni 2.65-2.74, 7 Mo 2.66-2.88

Computed properties:
**SG**: No. 62
**Fermi-level density of states**: 1.011 states/eV per atom



## 2
Compound: NiMo2
Source: Alexandria via LeMat-Bulk
Functional: PBE-GGA
Structure: relaxed

Cell lengths 2.6351, 2.6351, 25.1852 Å; angles 90.00, 90.00, 90.00 degrees
Closest atoms and distances in Å follow each position.
Fractional positions:
Ni (0.0000, 0.2500, 0.3750)  4 Ni 2.64, 8 Mo 2.67
Ni (0.0000, 0.7500, 0.6250)  4 Ni 2.64, 8 Mo 2.67
Ni (0.5000, 0.2500, 0.1250)  4 Ni 2.64, 8 Mo 2.67
Ni (0.5000, 0.7500, 0.8750)  4 Ni 2.64, 8 Mo 2.67
Mo (0.0000, 0.2500, 0.7989)  6 Mo 2.64-2.79, 4 Ni 2.67
Mo (0.0000, 0.2500, 0.9511)  6 Mo 2.64-2.79, 4 Ni 2.67
Mo (0.0000, 0.7500, 0.0489)  6 Mo 2.64-2.79, 4 Ni 2.67
Mo (0.0000, 0.7500, 0.2011)  6 Mo 2.64-2.79, 4 Ni 2.67
Mo (0.5000, 0.2500, 0.5489)  6 Mo 2.64-2.79, 4 Ni 2.67
Mo (0.5000, 0.2500, 0.7011)  6 Mo 2.64-2.79, 4 Ni 2.67
Mo (0.5000, 0.7500, 0.2989)  6 Mo 2.64-2.79, 4 Ni 2.67
Mo (0.5000, 0.7500, 0.4511)  6 Mo 2.64-2.79, 4 Ni 2.67

Computed properties:
**SG**: No. 141
**Fermi-level density of states**: 1.091 states/eV per atom



What should be chosen as the least stable of them? Choose 2.



## 1
Compound: NiMo2
Source: Alexandria via LeMat-Bulk
Functional: PBE-GGA
Structure: relaxed

Cell lengths 4.3029, 4.3029, 5.3026 Å; angles 90.00, 90.00, 120.00 degrees
Closest atoms and distances in Å follow each position.
Fractional positions:
Ni (0.3333, 0.6667, 0.2500)  5 Mo 2.48-2.65
Ni (0.6667, 0.3333, 0.7500)  5 Mo 2.48-2.65
Mo (0.0000, 0.0000, 0.0000)  8 Mo 2.65-2.82, 6 Ni 2.82
Mo (0.0000, 0.0000, 0.5000)  8 Mo 2.65-2.82, 6 Ni 2.82
Mo (0.3333, 0.6667, 0.7500)  5 Ni 2.48-2.65
Mo (0.6667, 0.3333, 0.2500)  5 Ni 2.48-2.65

Computed properties:
**SG**: No. 194
**Fermi-level density of states**: 0.780 states/eV per atom



## 2
Compound: NiMo2
Source: Alexandria via LeMat-Bulk
Functional: PBE-GGA
Structure: relaxed

Cell lengths 4.3212, 4.3212, 2.6002 Å; angles 90.00, 90.00, 90.00 degrees
Closest atoms and distances in Å follow each position.
Fractional positions:
Ni (0.0000, 0.0000, 0.0000)  8 Mo 2.52, 2 Ni 2.60
Mo (0.0000, 0.5000, 0.5000)  4 Ni 2.52, 2 Mo 2.60
Mo (0.5000, 0.0000, 0.5000)  4 Ni 2.52, 2 Mo 2.60

Computed properties:
**SG**: No. 123
**Fermi-level density of states**: 1.495 states/eV per atom



What should be chosen as the least stable of them? Choose 2.



## 1
Compound: NiMo2
Source: Alexandria via LeMat-Bulk
Functional: PBE-GGA
Structure: relaxed

Cell lengths 5.9728, 5.9728, 4.7976 Å; angles 90.00, 90.00, 90.00 degrees
Closest atoms and distances in Å follow each position.
Fractional positions:
Ni (0.0000, 0.0000, 0.2500)  2 Ni 2.40, 8 Mo 2.57
Ni (0.0000, 0.0000, 0.7500)  2 Ni 2.40, 8 Mo 2.57
Ni (0.5000, 0.5000, 0.2500)  2 Ni 2.40, 8 Mo 2.57
Ni (0.5000, 0.5000, 0.7500)  2 Ni 2.40, 8 Mo 2.57
Mo (0.1518, 0.3482, 0.0000)  1 Mo 2.57, 4 Ni 2.57
Mo (0.1518, 0.6518, 0.5000)  1 Mo 2.57, 4 Ni 2.57
Mo (0.3482, 0.1518, 0.5000)  1 Mo 2.57, 4 Ni 2.57
Mo (0.3482, 0.8482, 0.0000)  1 Mo 2.57, 4 Ni 2.57
Mo (0.6518, 0.1518, 0.0000)  1 Mo 2.57, 4 Ni 2.57
Mo (0.6518, 0.8482, 0.5000)  1 Mo 2.57, 4 Ni 2.57
Mo (0.8482, 0.3482, 0.5000)  1 Mo 2.57, 4 Ni 2.57
Mo (0.8482, 0.6518, 0.0000)  1 Mo 2.57, 4 Ni 2.57

Computed properties:
**SG**: No. 140
**Fermi-level density of states**: 1.101 states/eV per atom



## 2
Compound: NiMo2
Source: Alexandria via LeMat-Bulk
Functional: PBE-GGA
Structure: relaxed

Cell lengths 3.2203, 3.2203, 8.3810 Å; angles 90.00, 90.00, 90.00 degrees
Closest atoms and distances in Å follow each position.
Fractional positions:
Ni (0.0000, 0.0000, 0.0000)  10 Mo 2.68-2.78
Ni (0.5000, 0.5000, 0.5000)  10 Mo 2.68-2.78
Mo (0.0000, 0.0000, 0.3311)  5 Mo 2.65-2.83, 5 Ni 2.68-2.78
Mo (0.0000, 0.0000, 0.6689)  5 Mo 2.65-2.83, 5 Ni 2.68-2.78
Mo (0.5000, 0.5000, 0.1689)  5 Mo 2.65-2.83, 5 Ni 2.68-2.78
Mo (0.5000, 0.5000, 0.8311)  5 Mo 2.65-2.83, 5 Ni 2.68-2.78

Computed properties:
**SG**: No. 139
**Fermi-level density of states**: 1.652 states/eV per atom



What should be chosen as the least stable of them? Choose 2.



## 1
Compound: NiMo2
Source: Alexandria via LeMat-Bulk
Functional: PBE-GGA
Structure: relaxed

Cell lengths 6.7755, 6.7755, 3.2639 Å; angles 90.00, 90.00, 120.00 degrees
Closest atoms and distances in Å follow each position.
Fractional positions:
Ni (0.0000, 0.0000, 0.0000)  9 Mo 2.45-2.69
Ni (0.3333, 0.6667, 0.5000)  9 Mo 2.50-2.64
Ni (0.6667, 0.3333, 0.5000)  9 Mo 2.50-2.64
Mo (0.0000, 0.2694, 0.5000)  4 Ni 2.45-2.50
Mo (0.0000, 0.6025, 0.0000)  5 Ni 2.64-2.69, 6 Mo 2.79-2.89
Mo (0.2694, 0.0000, 0.5000)  4 Ni 2.45-2.50
Mo (0.3975, 0.3975, 0.0000)  5 Ni 2.64-2.69, 6 Mo 2.79-2.89
Mo (0.6025, 0.0000, 0.0000)  5 Ni 2.64-2.69, 6 Mo 2.79-2.89
Mo (0.7306, 0.7306, 0.5000)  4 Ni 2.45-2.50

Computed properties:
**SG**: No. 189
**Fermi-level density of states**: 1.255 states/eV per atom



## 2
Compound: NiMo2
Source: Alexandria via LeMat-Bulk
Functional: PBE-GGA
Structure: relaxed

Cell lengths 11.8459, 11.8459, 11.8459 Å; angles 161.33, 161.33, 26.52 degrees
Closest atoms and distances in Å follow each position.
Fractional positions:
Ni (0.2880, 0.5380, 0.7500)  2 Ni 2.60, 10 Mo 2.63-2.81
Ni (0.4620, 0.7120, 0.7500)  2 Ni 2.60, 10 Mo 2.63-2.81
Ni (0.5380, 0.2880, 0.2500)  2 Ni 2.60, 10 Mo 2.63-2.81
Ni (0.7120, 0.4620, 0.2500)  2 Ni 2.60, 10 Mo 2.63-2.81
Mo (0.0397, 0.7897, 0.2500)  6 Ni 2.63-2.72, 6 Mo 2.65-2.78
Mo (0.1230, 0.3730, 0.7500)  8 Mo 2.72-2.78, 4 Ni 2.74-2.81
Mo (0.2103, 0.9603, 0.2500)  6 Ni 2.63-2.72, 6 Mo 2.65-2.78
Mo (0.3730, 0.1230, 0.2500)  8 Mo 2.72-2.78, 4 Ni 2.74-2.81
Mo (0.6270, 0.8770, 0.7500)  8 Mo 2.72-2.78, 4 Ni 2.74-2.81
Mo (0.7897, 0.0397, 0.7500)  6 Ni 2.63-2.72, 6 Mo 2.65-2.78
Mo (0.8770, 0.6270, 0.2500)  8 Mo 2.72-2.78, 4 Ni 2.74-2.81
Mo (0.9603, 0.2103, 0.7500)  6 Ni 2.63-2.72, 6 Mo 2.65-2.78

Computed properties:
**SG**: No. 141
**Fermi-level density of states**: 1.164 states/eV per atom



What should be chosen as the least stable of them? Choose 1.